--- a ---
Here is crystalline TbPm3S4 at its relaxed geometry from the Alexandria database. Energies are from PBE-GGA.

abc: 5.669 5.669 5.669
angles: 90.00 90.00 90.00
Space group Pm-3m (No. 221)
Inequivalent atoms, fractional coordinates:
Tb  0.000  0.000  0.000 x1
Pm  0.000  0.500  0.500 x3
S  0.000  0.000  0.500 x3
S  0.500  0.500  0.500 x1

The total magnetic moment is 0.000 μB/atom.

=====

--- b ---
Here is crystalline TbPm3S4 at its relaxed geometry from the Alexandria database. Energies are from PBE-GGA.

abc: 6.974 7.954 6.957
angles: 90.00 109.40 90.00
Space group P2/c (No. 13)
Inequivalent atoms, fractional coordinates:
Tb  0.000  0.126  0.250 x2
Pm  0.000  0.376  0.750 x2
Pm  0.500  0.126  0.750 x2
Pm  0.500  0.376  0.250 x2
S  0.243  0.121  0.000 x4
S  0.246  0.371  0.496 x4

The total magnetic moment is 0.000 μB/atom.

=====

Most stable to least stable, the ends of the list are b and a.

=====

--- a ---
Here is crystalline Pm3Te2S2 at its relaxed geometry from the Alexandria database. Energies are from PBE-GGA.

abc: 16.957 4.101 6.416
angles: 90.00 94.27 90.00
Space group C2/m (No. 12)
Inequivalent atoms, fractional coordinates:
Pm  0.000  0.000  0.000 x2
Pm  0.179  0.000  0.732 x4
Te  0.177  0.000  0.240 x4
S  0.071  0.500  0.772 x4

The total magnetic moment is 0.000 μB/atom.

=====

--- b ---
Here is crystalline Pm3Te2S2 at its relaxed geometry from the Alexandria database. Energies are from PBE-GGA.

abc: 13.656 4.145 7.600
angles: 90.00 98.20 90.00
Space group C2/m (No. 12)
Inequivalent atoms, fractional coordinates:
Pm  0.000  0.000  0.000 x2
Pm  0.240  0.000  0.760 x4
Te  0.116  0.000  0.380 x4
S  0.130  0.500  0.905 x4

The total magnetic moment is 0.000 μB/atom.

=====

Most stable to least stable, the ends of the list are b and a.

=====

--- a ---
Here is crystalline Pm4Te3S at its relaxed geometry from the Alexandria database. Energies are from PBE-GGA.

abc: 8.852 12.412 4.304
angles: 90.00 90.00 90.00
Space group Cmmm (No. 65)
Inequivalent atoms, fractional coordinates:
Pm  0.000  0.226  0.000 x4
Pm  0.215  0.000  0.500 x4
Te  0.000  0.500  0.000 x2
Te  0.250  0.250  0.500 x4
S  0.000  0.000  0.000 x2

The total magnetic moment is 0.000 μB/atom.

=====

--- b ---
Here is crystalline Pm4Te3S at its relaxed geometry from the Alexandria database. Energies are from PBE-GGA.

abc: 6.078 12.185 6.437
angles: 90.00 90.00 90.00
Space group Pmmn (No. 59, origin choice 2)
Inequivalent atoms, fractional coordinates:
Pm  0.250  0.019  0.200 x4
Pm  0.250  0.250  0.795 x2
Pm  0.250  0.750  0.803 x2
Te  0.250  0.000  0.709 x4
Te  0.250  0.750  0.296 x2
S  0.250  0.250  0.237 x2

The total magnetic moment is 0.000 μB/atom.

=====

Most stable to least stable, the ends of the list are a and b.

=====

--- a ---
Here is crystalline PmThS2 at its relaxed geometry from the Alexandria database. Energies are from PBE-GGA.

abc: 3.9988 3.9988 20.1362
angles: 90.00 90.00 120.00
Space group R-3m (No. 166, hexagonal axes)
Inequivalent atoms, fractional coordinates:
Pm  0.0000  0.0000  0.0000 x3
Th  0.0000  0.0000  0.5000 x3
S  0.0000  0.0000  0.2512 x6

The total magnetic moment is 0.000 μB/atom.

=====

--- b ---
Here is crystalline PmThS2 at its relaxed geometry from the Alexandria database. Energies are from PBE-GGA.

abc: 3.9481 3.9481 13.8724
angles: 90.00 90.00 120.00
Space group P6_3/mmc (No. 194)
Inequivalent atoms, fractional coordinates:
Pm  0.0000  0.0000  0.0000 x2
Th  0.3333  0.6667  0.2500 x2
S  0.3333  0.6667  0.6224 x4

The total magnetic moment is 0.000 μB/atom.

=====

Most stable to least stable, the ends of the list are a and b.

=====

--- a ---
Here is crystalline PmTlS2 at its relaxed geometry from the Alexandria database. Energies are from PBE-GGA.

abc: 3.587 3.587 7.588
angles: 90.00 90.00 90.00
Space group P4/mmm (No. 123)
Inequivalent atoms, fractional coordinates:
Pm  0.000  0.000  0.000 x1
Tl  0.000  0.000  0.500 x1
S  0.500  0.500  0.207 x2

The total magnetic moment is 0.000 μB/atom.

=====

--- b ---
Here is crystalline PmTlS2 at its relaxed geometry from the Alexandria database. Energies are from PBE-GGA.

abc: 4.1498 4.1498 22.5067
angles: 90.00 90.00 120.00
Space group R-3m (No. 166, hexagonal axes)
Inequivalent atoms, fractional coordinates:
Pm  0.0000  0.0000  0.0000 x3
Tl  0.0000  0.0000  0.5000 x3
S  0.0000  0.0000  0.2657 x6

The total magnetic moment is 0.000 μB/atom.

=====

Most stable to least stable, the ends of the list are b and a.

=====

--- a ---
Here is crystalline PmTm3S4 at its relaxed geometry from the Alexandria database. Energies are from PBE-GGA.

abc: 5.509 5.509 5.509
angles: 90.00 90.00 90.00
Space group Pm-3m (No. 221)
Inequivalent atoms, fractional coordinates:
Pm  0.000  0.000  0.000 x1
Tm  0.000  0.500  0.500 x3
S  0.000  0.000  0.500 x3
S  0.500  0.500  0.500 x1

The total magnetic moment is 0.000 μB/atom.

=====

--- b ---
Here is crystalline PmTm3S4 at its relaxed geometry from the Alexandria database. Energies are from PBE-GGA.

abc: 7.878 11.013 3.843
angles: 90.00 90.00 90.00
Space group Cmmm (No. 65)
Inequivalent atoms, fractional coordinates:
Pm  0.000  0.000  0.000 x2
Tm  0.000  0.500  0.000 x2
Tm  0.250  0.250  0.500 x4
S  0.000  0.256  0.000 x4
S  0.238  0.500  0.500 x4

The total magnetic moment is 0.000 μB/atom.

=====

Most stable to least stable, the ends of the list are b and a.